# 1
TlHg2Os: optimized geometry, PBE.

Calculated values
For the density, the calculation gives 15.698 g cm⁻³. The value obtained for the total moment is 0.97 μB/f.u. The formation energy comes out at 336 kJ/mol of formula units. The offset from the most stable computed form comes out at 25.7 kJ/mol of atoms. For the energy, the calculation gives -2.68 eV per atom. For the density of states at the Fermi level, the calculation gives 1.91 states/eV per cell.

Cell lengths 5.273, 5.273, 3.027 Å; angles 90.00, 90.00, 90.00 degrees
Positions (direct):
1 Tl 0.000 0.000 0.000
2 Hg 0.000 0.500 0.500
3 Hg 0.500 0.000 0.500
4 Os 0.500 0.500 0.000

# 2
TlHgOs2: optimized geometry, PBE.

Calculated values
For the density, the calculation gives 18.354 g cm⁻³. The value obtained for the total moment is 1.50 μB/f.u. The formation energy comes out at 495 kJ/mol of formula units. The offset from the most stable computed form comes out at 73.7 kJ/mol of atoms. For the energy, the calculation gives -5.00 eV per atom. For the density of states at the Fermi level, the calculation gives 21.58 states/eV per cell.

Cell lengths 6.575, 6.575, 6.575 Å; angles 90.00, 90.00, 90.00 degrees
Positions (direct):
1 Tl 0.000 0.000 0.000
2 Tl 0.000 0.500 0.500
3 Tl 0.500 0.000 0.500
4 Tl 0.500 0.500 0.000
5 Hg 0.000 0.000 0.500
6 Hg 0.000 0.500 0.000
7 Hg 0.500 0.000 0.000
8 Hg 0.500 0.500 0.500
9 Os 0.250 0.250 0.250
10 Os 0.250 0.250 0.750
11 Os 0.250 0.750 0.250
12 Os 0.250 0.750 0.750
13 Os 0.750 0.250 0.250
14 Os 0.750 0.250 0.750
15 Os 0.750 0.750 0.250
16 Os 0.750 0.750 0.750

# 3
TlHg2Os: optimized geometry, PBE.

Calculated values
For the density, the calculation gives 14.289 g cm⁻³. The value obtained for the total moment is 0.08 μB/f.u. The formation energy comes out at 237 kJ/mol of formula units. The offset from the most stable computed form comes out at 1.0 kJ/mol of atoms. For the energy, the calculation gives -2.93 eV per atom. For the density of states at the Fermi level, the calculation gives 4.41 states/eV per cell.

Cell lengths 14.177, 2.953, 4.679 Å; angles 90.00, 109.20, 90.00 degrees
Positions (direct):
1 Tl 0.000 0.000 0.000
2 Tl 0.500 0.500 0.000
3 Hg 0.186 0.000 0.686
4 Hg 0.314 0.500 0.314
5 Hg 0.686 0.500 0.686
6 Hg 0.814 0.000 0.314
7 Os 0.000 0.500 0.500
8 Os 0.500 0.000 0.500

# 4
TlHgOs2: optimized geometry, PBE.

Calculated values
For the density, the calculation gives 18.146 g cm⁻³. The value obtained for the total moment is 0.00 μB/f.u. The formation energy comes out at 432 kJ/mol of formula units. The offset from the most stable computed form comes out at 58.0 kJ/mol of atoms. For the energy, the calculation gives -5.16 eV per atom. For the density of states at the Fermi level, the calculation gives 3.25 states/eV per cell.

Cell lengths 2.970, 4.779, 5.063 Å; angles 90.00, 90.00, 90.00 degrees
Positions (direct):
1 Tl 0.000 0.000 0.000
2 Hg 0.500 0.000 0.500
3 Os 0.000 0.500 0.500
4 Os 0.500 0.500 0.000

Question: offset from the most stable computed form of number 1 (TlHg2Os)?
Answer: 25.7 kJ/mol of atoms